{
  "formula": "Th2Ru6C5",
  "functional": "PBE",
  "state": "relaxed",
  "lattice_angstrom": [[-5.879, 5.487, 4.368], [-6.986, -5.081, -3.021], [0.281, -2.420, 3.420]],
  "species": ["Th", "Th", "Th", "Th", "Ru", "Ru", "Ru", "Ru", "Ru", "Ru", "Ru", "Ru", "Ru", "Ru", "Ru", "Ru", "C", "C", "C", "C", "C", "C", "C", "C", "C", "C"],
  "frac_coords": [[0.826, 0.326, 0.500], [0.674, 0.826, 0.500], [0.326, 0.174, 0.500], [0.174, 0.674, 0.500], [0.429, 0.712, 0.000], [0.288, 0.429, 0.000], [0.000, 0.500, 0.000], [0.500, 0.000, 0.000], [0.000, 0.000, 0.500], [0.500, 0.500, 0.500], [0.929, 0.788, 0.000], [0.212, 0.929, 0.000], [0.788, 0.071, 0.000], [0.071, 0.212, 0.000], [0.712, 0.571, 0.000], [0.571, 0.288, 0.000], [0.500, 0.500, 0.000], [0.000, 0.000, 0.000], [0.374, 0.874, 0.671], [0.626, 0.126, 0.671], [0.374, 0.874, 0.329], [0.126, 0.374, 0.329], [0.874, 0.626, 0.329], [0.626, 0.126, 0.329], [0.874, 0.626, 0.671], [0.126, 0.374, 0.671]],
  "magmom_total_mub_per_cell": 0.00,
  "formation_energy_ev_per_atom": -0.208,
  "density_g_cm3": 10.68,
  "final_energy_ev_per_atom": -9.178
}



{
  "formula": "CeLu2Bi",
  "functional": "PBE",
  "state": "relaxed",
  "lattice_angstrom": [[-1.831, -2.755, 1.200], [1.088, -1.720, 2.871], [-6.162, 5.147, 7.574]],
  "species": ["Lu", "Lu", "Bi", "Ce"],
  "frac_coords": [[0.252, 0.252, 0.244], [0.748, 0.748, 0.756], [0.000, 0.000, 0.000], [0.500, 0.500, 0.500]],
  "magmom_total_mub_per_cell": 0.70,
  "formation_energy_ev_per_atom": -0.147,
  "density_g_cm3": 9.98,
  "de_polymorph_ev_per_atom": 0.141,
  "final_energy_ev_per_atom": -4.862
}



{
  "formula": "Rb2CdGeRh",
  "functional": "PBE",
  "state": "relaxed",
  "lattice_angstrom": [[-3.047, 2.372, 4.609], [-3.114, -4.250, 0.129], [3.775, -2.649, 3.859]],
  "species": ["Ge", "Rh", "Rb", "Rb", "Cd"],
  "frac_coords": [[0.500, 0.500, 0.500], [0.000, 0.000, 0.000], [0.000, 0.000, 0.500], [0.500, 0.000, 0.000], [0.000, 0.500, 0.000]],
  "magmom_total_mub_per_cell": 2.32,
  "formation_energy_ev_per_atom": 0.691,
  "density_g_cm3": 4.00,
  "final_energy_ev_per_atom": -2.273
}



{
  "formula": "Pm3Ho12Al",
  "functional": "PBE",
  "state": "relaxed",
  "lattice_angstrom": [[4.939, 0.000, 0.000], [0.000, 4.939, 0.000], [0.000, 0.000, 20.020]],
  "species": ["Pm", "Pm", "Pm", "Ho", "Ho", "Ho", "Ho", "Ho", "Ho", "Ho", "Ho", "Ho", "Ho", "Ho", "Ho", "Al"],
  "frac_coords": [[0.000, 0.000, 0.246], [0.000, 0.000, 0.500], [0.000, 0.000, 0.754], [0.500, 0.500, 0.000], [0.500, 0.500, 0.241], [0.500, 0.500, 0.500], [0.500, 0.500, 0.759], [0.500, 0.000, 0.116], [0.500, 0.000, 0.372], [0.500, 0.000, 0.628], [0.500, 0.000, 0.884], [0.000, 0.500, 0.116], [0.000, 0.500, 0.372], [0.000, 0.500, 0.628], [0.000, 0.500, 0.884], [0.000, 0.000, 0.000]],
  "magmom_total_mub_per_cell": 0.01,
  "formation_energy_ev_per_atom": -0.015,
  "density_g_cm3": 8.30,
  "final_energy_ev_per_atom": -4.573
}